(1)
This record from Alexandria via LeMat-Bulk describes crystalline Li2Au3 at its relaxed geometry. The functional is GGA-PBEsol.

It has space group Fdd2 (No. 43), with a = 9.410 Å, b = 13.349 Å, c = 4.915 Å, α = 90.00°, β = 90.00° and γ = 90.00°. Symmetry generates all atoms from Li at (0.024, 0.199, 0.000), Au at (0.000, 0.000, 0.035) and Au at (0.038, 0.104, 0.528).

As for the formation energy: -0.4277 eV per atom.

=====

(2)
This record from Alexandria via LeMat-Bulk describes crystalline LiTl2In at its relaxed geometry. The functional is GGA-PBEsol.

It has space group Cm (No. 8), with a = 10.567 Å, b = 3.452 Å, c = 5.445 Å, α = 90.00°, β = 101.11° and γ = 90.00°. Symmetry generates all atoms from Li at (0.000, 0.000, 0.000), Tl at (0.256, 0.000, 0.779), Tl at (0.494, 0.000, 0.495) and In at (0.238, 0.500, 0.254).

As for the formation energy: -0.1012 eV per atom.

=====

(3)
This record from Alexandria via LeMat-Bulk describes crystalline SrSiW at its relaxed geometry. The functional is GGA-PBEsol.

It has space group P3m1 (No. 156), with a = 3.4309 Å, b = 3.4309 Å, c = 6.3513 Å, α = 90.00°, β = 90.00° and γ = 120.00°. Symmetry generates all atoms from Sr at (0.0000, 0.0000, 0.0000), Si at (0.6667, 0.3333, 0.3718) and W at (0.3333, 0.6667, 0.5946).

Its raw formation energy is 1.9 eV/f.u.

=====

(4)
This record from Alexandria via LeMat-Bulk describes crystalline NbP2Rh at its relaxed geometry. The functional is GGA-PBEsol.

It has space group Fm-3m (No. 225), with a = 6.016 Å, b = 6.016 Å, c = 6.016 Å, α = 90.00°, β = 90.00° and γ = 90.00°. Symmetry generates all atoms from Nb at (0.000, 0.000, 0.000), P at (0.250, 0.250, 0.250) and Rh at (0.000, 0.000, 0.500).

As for the formation energy: -0.5546 eV per atom.

=====

(5)
This record from Alexandria via LeMat-Bulk describes crystalline TiCdSiTc2 at its relaxed geometry. The functional is GGA-PBEsol.

It has space group P4/mmm (No. 123), with a = 4.857 Å, b = 4.857 Å, c = 4.390 Å, α = 90.00°, β = 90.00° and γ = 90.00°. Symmetry generates all atoms from Ti at (0.000, 0.000, 0.000), Cd at (0.500, 0.500, 0.500), Si at (0.500, 0.500, 0.000) and Tc at (0.000, 0.500, 0.500).

Its raw formation energy is 10.2 eV/f.u.

=====

(6)
This record from Alexandria via LeMat-Bulk describes crystalline KBaOs at its relaxed geometry. The functional is GGA-PBEsol.

It has space group I4mm (No. 107), with a = 3.449 Å, b = 3.449 Å, c = 16.562 Å, α = 90.00°, β = 90.00° and γ = 90.00°. Symmetry generates all atoms from K at (0.000, 0.000, 0.000), Ba at (0.000, 0.000, 0.243) and Os at (0.000, 0.000, 0.630).

The distance to the lowest polymorph of the same formula comes out at 0 meV per atom. As for the formation energy: 1.2091 eV per atom.

=====

(7)
This record from Alexandria via LeMat-Bulk describes crystalline CsNaIn3 at its relaxed geometry. The functional is GGA-PBEsol.

It has space group Pm-3m (No. 221), with a = 6.329 Å, b = 6.329 Å, c = 6.329 Å, α = 90.00°, β = 90.00° and γ = 90.00°. Symmetry generates all atoms from Cs at (0.000, 0.000, 0.000), Na at (0.500, 0.500, 0.500) and In at (0.000, 0.000, 0.500).

The distance to the lowest polymorph of the same formula comes out at 574 meV per atom. As for the formation energy: 0.8783 eV per atom.

=====

(8)
This record from Alexandria via LeMat-Bulk describes crystalline HfReSe2Br at its relaxed geometry. The functional is GGA-PBEsol.

It has space group P4/mmm (No. 123), with a = 5.121 Å, b = 5.121 Å, c = 5.164 Å, α = 90.00°, β = 90.00° and γ = 90.00°. Symmetry generates all atoms from Hf at (0.000, 0.000, 0.000), Re at (0.500, 0.500, 0.500), Se at (0.000, 0.500, 0.000) and Br at (0.000, 0.000, 0.500).

Its raw formation energy is 3.5 eV/f.u.

=====

(9)
This record from Alexandria via LeMat-Bulk describes crystalline CsScSnRh2 at its relaxed geometry. The functional is GGA-PBEsol.

It has space group P4/mmm (No. 123), with a = 4.844 Å, b = 4.844 Å, c = 5.836 Å, α = 90.00°, β = 90.00° and γ = 90.00°. Symmetry generates all atoms from Cs at (0.000, 0.000, 0.000), Sc at (0.500, 0.500, 0.500), Sn at (0.000, 0.000, 0.500) and Rh at (0.000, 0.500, 0.000).

As for the formation energy: 1.6698 eV per atom.

=====

(10)
This record from Alexandria via LeMat-Bulk describes crystalline LiYPb at its relaxed geometry. The functional is GGA-PBEsol.

It has space group P3m1 (No. 156), with a = 3.4374 Å, b = 3.4374 Å, c = 7.8070 Å, α = 90.00°, β = 90.00° and γ = 120.00°. Symmetry generates all atoms from Li at (0.0000, 0.0000, 0.0000), Y at (0.3333, 0.6667, 0.3690) and Pb at (0.6667, 0.3333, 0.7088).

As for the formation energy: -0.1019 eV per atom.

=====

(11)
This record from Alexandria via LeMat-Bulk describes crystalline Fe2W at its relaxed geometry. The functional is GGA-PBEsol.

It has space group Fd-3m (No. 227, origin choice 2), with a = 6.566 Å, b = 6.566 Å, c = 6.566 Å, α = 90.00°, β = 90.00° and γ = 90.00°. Symmetry generates all atoms from Fe at (0.000, 0.000, 0.000) and W at (0.125, 0.125, 0.625).

As for the formation energy: -0.0450 eV per atom.

=====

(12)
This record from Alexandria via LeMat-Bulk describes crystalline MnBeSe2 at its relaxed geometry. The functional is GGA-PBEsol.

It has space group I-42d (No. 122), with a = 5.540 Å, b = 5.540 Å, c = 10.573 Å, α = 90.00°, β = 90.00° and γ = 90.00°. Symmetry generates all atoms from Mn at (0.000, 0.000, 0.000), Be at (0.000, 0.000, 0.500) and Se at (0.208, 0.250, 0.625).

Its raw formation energy is -1.8 eV/f.u.

=====

(13)
This record from Alexandria via LeMat-Bulk describes crystalline KScCu2 at its relaxed geometry. The functional is GGA-PBEsol.

It has space group P4/mmm (No. 123), with a = 5.075 Å, b = 5.075 Å, c = 3.049 Å, α = 90.00°, β = 90.00° and γ = 90.00°. Symmetry generates all atoms from K at (0.000, 0.000, 0.000), Sc at (0.500, 0.500, 0.000) and Cu at (0.000, 0.500, 0.500).

The distance to the lowest polymorph of the same formula comes out at 278 meV per atom. As for the formation energy: 0.4181 eV per atom.

=====

(14)
This record from Alexandria via LeMat-Bulk describes crystalline MgGa3Pd at its relaxed geometry. The functional is GGA-PBEsol.

It has space group Pm-3m (No. 221), with a = 4.848 Å, b = 4.848 Å, c = 4.848 Å, α = 90.00°, β = 90.00° and γ = 90.00°. Symmetry generates all atoms from Mg at (0.000, 0.000, 0.000), Ga at (0.000, 0.000, 0.500) and Pd at (0.500, 0.500, 0.500).

As for the formation energy: 0.7888 eV per atom.

=====

(15)
This record from Alexandria via LeMat-Bulk describes crystalline HfNbRu3 at its relaxed geometry. The functional is GGA-PBEsol.

It has space group Pm-3m (No. 221), with a = 4.588 Å, b = 4.588 Å, c = 4.588 Å, α = 90.00°, β = 90.00° and γ = 90.00°. Symmetry generates all atoms from Hf at (0.000, 0.000, 0.000), Nb at (0.500, 0.500, 0.500) and Ru at (0.000, 0.500, 0.500).

As for the formation energy: 1.1279 eV per atom.

=====

(16)
This record from Alexandria via LeMat-Bulk describes crystalline ReSi2Au at its relaxed geometry. The functional is GGA-PBEsol.

It has space group P4/mmm (No. 123), with a = 3.134 Å, b = 3.134 Å, c = 5.772 Å, α = 90.00°, β = 90.00° and γ = 90.00°. Symmetry generates all atoms from Re at (0.000, 0.000, 0.000), Si at (0.500, 0.500, 0.229) and Au at (0.000, 0.000, 0.500).

The distance to the lowest polymorph of the same formula comes out at 0 meV per atom. Its raw formation energy is -0.1 eV/f.u.

=====

(17)
This record from Alexandria via LeMat-Bulk describes crystalline RbYAl3 at its relaxed geometry. The functional is GGA-PBEsol.

It has space group Pm-3m (No. 221), with a = 5.679 Å, b = 5.679 Å, c = 5.679 Å, α = 90.00°, β = 90.00° and γ = 90.00°. Symmetry generates all atoms from Rb at (0.000, 0.000, 0.000), Y at (0.500, 0.500, 0.500) and Al at (0.000, 0.500, 0.500).

The distance to the lowest polymorph of the same formula comes out at 0 meV per atom. As for the formation energy: 0.7773 eV per atom.

=====

(18)
This record from Alexandria via LeMat-Bulk describes crystalline MgMn2Br at its relaxed geometry. The functional is GGA-PBEsol.

It has space group P4mm (No. 99), with a = 3.112 Å, b = 3.112 Å, c = 7.236 Å, α = 90.00°, β = 90.00° and γ = 90.00°. Symmetry generates all atoms from Mg at (0.000, 0.000, 0.000), Mn at (0.000, 0.000, 0.406), Mn at (0.500, 0.500, 0.236) and Br at (0.500, 0.500, 0.653).

The distance to the lowest polymorph of the same formula comes out at 0 meV per atom. Its raw formation energy is 0.9 eV/f.u.

=====

(19)
This record from Alexandria via LeMat-Bulk describes crystalline MgTl2Cd at its relaxed geometry. The functional is GGA-PBEsol.

It has space group R-3m (No. 166, hexagonal axes), with a = 3.2923 Å, b = 3.2923 Å, c = 31.6723 Å, α = 90.00°, β = 90.00° and γ = 120.00°. Symmetry generates all atoms from Mg at (0.0000, 0.0000, 0.0000), Tl at (0.0000, 0.0000, 0.2506) and Cd at (0.0000, 0.0000, 0.5000).

The distance to the lowest polymorph of the same formula comes out at 37 meV per atom. As for the formation energy: 0.0193 eV per atom.

=====

(20)
This record from Alexandria via LeMat-Bulk describes crystalline Tc2RuBr at its relaxed geometry. The functional is GGA-PBEsol.

It has space group Immm (No. 71), with a = 2.919 Å, b = 4.377 Å, c = 9.008 Å, α = 90.00°, β = 90.00° and γ = 90.00°. Symmetry generates all atoms from Tc at (0.000, 0.000, 0.229), Ru at (0.000, 0.500, 0.000) and Br at (0.000, 0.500, 0.500).

The distance to the lowest polymorph of the same formula comes out at 0 meV per atom. Its raw formation energy is 2.9 eV/f.u.

=====

no.,D(E_F) (states/eV per cell),ρ (g cm⁻³)
1,8.4,13.012
2,3.2,9.040
3,1.4,7.682
4,6.0,7.862
5,3.6,6.163
6,7.9,6.179
7,5.9,3.278
8,1.5,7.388
9,5.8,6.093
10,2.7,6.299
11,32.9,13.869
12,0.0,4.541
13,3.2,4.465
14,2.2,4.953
15,4.2,9.878
16,1.5,12.865
17,7.1,2.315
18,2.0,5.073
19,4.9,9.140
20,7.3,10.879